Material: BaMgCu2
Method: DFT, GGA-PBEsol
State: relaxed

Unit cell a=7.0827 b=7.0827 c=7.0827 alpha=90.00 beta=90.00 gamma=90.00
Space group F-43m (No. 216)
One atom of each set of equivalent atoms:
Ba  0.0000  0.0000  0.0000 [4 per cell]
Mg  0.2500  0.2500  0.7500 [4 per cell]
Cu  0.0000  0.0000  0.5000 [4 per cell]
Cu  0.2500  0.2500  0.2500 [4 per cell]

The value obtained for the volume is 22.21 Å³/atom. Its final energy is -2.74 eV per atom. The calculation puts the total moment at 0.00 μB per cell. As for the formation energy from the elements: 0.39 eV/atom. The value obtained for the density is 5.40 g cm⁻³.